(1)
Compound: EuMgAlPb
Source: Alexandria
Functional: GGA-PBE
Structure: relaxed

Unit cell a=5.2811 b=5.2811 c=5.2811 alpha=60.00 beta=60.00 gamma=60.00
Site moments in Bohr magnetons follow the coordinates.
Fractional coordinates of all 4 atoms:
Pb 0.7500 0.7500 0.7500  0.02
Eu 0.5000 0.5000 0.5000  -6.80
Mg 0.0000 0.0000 0.0000  0.01
Al 0.2500 0.2500 0.2500  0.01

## Properties
Space group: F-43m
Total magnetic moment in μB per cell: 6.9
Density of states at the Fermi level in states/eV/f.u.: 2.29
ΔE_f in meV/atom: -171
DFT total energy in eV per formula unit: -20.0

(2)
Compound: PrEuMgAl
Source: Alexandria
Functional: GGA-PBE
Structure: relaxed

Unit cell a=5.4410 b=5.4410 c=5.4410 alpha=60.00 beta=60.00 gamma=60.00
Site moments in Bohr magnetons follow the coordinates.
Fractional coordinates of all 4 atoms:
Eu 0.7500 0.7500 0.7500  6.87
Al 0.5000 0.5000 0.5000  -0.02
Pr 0.2500 0.2500 0.2500  0.08
Mg 0.0000 0.0000 0.0000  0.01

## Properties
Space group: F-43m
Total magnetic moment in μB per cell: 7.4
Density of states at the Fermi level in states/eV/f.u.: 8.16
ΔE_f in meV/atom: -193
DFT total energy in eV per formula unit: -21.2

(3)
Compound: EuPuMgAl
Source: Alexandria
Functional: GGA-PBE
Structure: relaxed

Unit cell a=5.3256 b=5.3256 c=5.3256 alpha=60.00 beta=60.00 gamma=60.00
Site moments in Bohr magnetons follow the coordinates.
Fractional coordinates of all 4 atoms:
Mg 0.0000 0.0000 0.0000  0.01
Al 0.5000 0.5000 0.5000  -0.03
Eu 0.2500 0.2500 0.2500  6.84
Pu 0.7500 0.7500 0.7500  5.44

## Properties
Space group: F-43m
Total magnetic moment in μB per cell: 13.0
Density of states at the Fermi level in states/eV/f.u.: 12.81
ΔE_f in meV/atom: 13
DFT total energy in eV per formula unit: -29.9